# 1
# LaAsW

A relaxed LaAsW crystal (PBE, OQMD).

**ΔE to the lowest computed polymorph**: 0.00 eV/f.u.
**Calculated density**: 9.2 g/cm³
**Total moment**: 0.00 μB per formula unit
**Raw total energy**: -7.112 eV/atom

a = 4.670 Å, b = 4.670 Å, c = 4.670 Å
α = 60.00°, β = 60.00°, γ = 60.00°
Element x y z (fractional)
As (0.000, 0.000, 0.000)
La (0.250, 0.250, 0.250)
W (0.750, 0.750, 0.750)

=====

# 2
# AlTcSb

A relaxed AlTcSb crystal (PBE, OQMD).

**ΔE to the lowest computed polymorph**: 0.00 eV/f.u.
**Calculated density**: 6.9 g/cm³
**Total moment**: 0.00 μB per formula unit
**Raw total energy**: -5.978 eV/atom

a = 4.380 Å, b = 4.380 Å, c = 4.380 Å
α = 60.00°, β = 60.00°, γ = 60.00°
Element x y z (fractional)
Al (0.500, 0.500, 0.500)
Sb (0.000, 0.000, 0.000)
Tc (0.250, 0.250, 0.250)

=====

# 3
# LiGdSnPt

A relaxed LiGdSnPt crystal (PBE, OQMD).

**ΔE to the lowest computed polymorph**: 0.00 eV/f.u.
**Calculated density**: 10.3 g/cm³
**Total moment**: 0.00 μB per formula unit
**Raw total energy**: -5.071 eV/atom

a = 4.784 Å, b = 4.784 Å, c = 4.784 Å
α = 60.00°, β = 60.00°, γ = 60.00°
Element x y z (fractional)
Sn (0.000, 0.000, 0.000)
Li (0.750, 0.750, 0.750)
Pt (0.250, 0.250, 0.250)
Gd (0.500, 0.500, 0.500)